# GGA+U Na2MgCrF7, optimized geometry
data_Na2MgCrF7
_cell_length_a 7.2692
_cell_length_b 10.3769
_cell_length_c 7.5255
_cell_angle_alpha 90.00
_cell_angle_beta 90.00
_cell_angle_gamma 90.00
_symmetry_space_group_name_H-M 'I m m a'
_symmetry_Int_Tables_number 74
_symmetry_space_group_name_Hall '-I 2b 2'
loop_
_atom_site_label
_atom_site_fract_x
_atom_site_fract_y
_atom_site_fract_z
_atom_site_occupancy
Na1 0.0000 0.0000 0.0000 1
Na2 0.2500 0.2500 0.2500 1
Mg1 0.2500 0.2500 0.7500 1
Cr1 0.0000 0.0000 0.5000 1
F1 0.0000 0.0920 0.2710 1
F2 0.0000 0.2500 0.8438 1
F3 0.1986 0.1159 0.5654 1
# uncorrected energy = -5.2760 eV/atom